Here is a relaxed structure of Na2Mg3In7 from Alexandria via LeMat-Bulk. Energies are from PBE.

abc: 5.766 3.393 16.343
angles: 90.00 94.11 90.00
Element x y z (fractional)
1 Na 0.223 0.000 0.339
2 Na 0.777 0.000 0.661
3 Mg 0.288 0.500 0.695
4 Mg 0.500 0.000 0.000
5 Mg 0.712 0.500 0.305
6 In 0.000 0.500 0.000
7 In 0.130 0.000 0.839
8 In 0.256 0.000 0.540
9 In 0.358 0.500 0.161
10 In 0.642 0.500 0.839
11 In 0.744 0.000 0.460
12 In 0.870 0.000 0.161

Summary:
- density of states at the Fermi level (states/eV/atom) = 0.3428
- spin magnetization (μB/f.u.) = 0.00
- calculated density (g/cm3) = 4.80
- electronic total energy (eV/atom) = -2.25